No. 1
Density functional theory data (GGA-PBE) for a geometry-optimized Ac6CoPd2Pt structure.

The value obtained for the total moment is 0.0 μB per formula unit. The formation energy is -0.54 eV/atom.

It has space group P1 (No. 1), with a = 7.580 Å, b = 7.583 Å, c = 8.246 Å, α = 62.64°, β = 62.65° and γ = 60.04°. The inequivalent atoms are Ac at (0.000, 0.000, 0.000), Ac at (0.134, 0.866, 0.488), Ac at (0.296, 0.352, 0.000), Ac at (0.513, 0.161, 0.488), Ac at (0.649, 0.647, 0.000), Ac at (0.808, 0.486, 0.488), Co at (0.905, 0.257, 0.227), Pd at (0.224, 0.577, 0.271), Pd at (0.722, 0.075, 0.777) and Pt at (0.404, 0.757, 0.730).

***

No. 2
Density functional theory data (GGA-PBE) for a geometry-optimized PaAl2TlO8 structure.

The energy relative to the elements, uncorrected is -2.14 eV/atom. The value obtained for the total moment is 2.0 μB per formula unit.

It has space group I-4m2 (No. 119), with a = 6.942 Å, b = 6.942 Å, c = 6.665 Å, α = 90.00°, β = 90.00° and γ = 90.00°. The inequivalent atoms are Pa at (0.000, 0.000, 0.000), Al at (0.000, 0.000, 0.500), Al at (0.000, 0.500, 0.250), Tl at (0.000, 0.500, 0.750), O at (0.000, 0.181, 0.688) and O at (0.000, 0.305, 0.078).